The following is a GGA-PBE calculation of a geometry-optimized Rb2SrGeBr6 structure, from the Alexandria database.

a b c (Å): 8.200 8.200 8.200
angles (deg): 60.00 60.00 60.00
Sites, in units of the cell vectors:
Rb 0.250 0.250 0.250
Rb 0.750 0.750 0.750
Sr 0.000 0.000 0.000
Ge 0.500 0.500 0.500
Br 0.259 0.259 0.741
Br 0.259 0.741 0.259
Br 0.259 0.741 0.741
Br 0.741 0.259 0.259
Br 0.741 0.259 0.741
Br 0.741 0.741 0.259

Calculated values
- Distance to the lowest polymorph of the same formula: 32 meV/atom
- SG: Fm-3m (225)
- Energy relative to the elements, uncorrected: -1.48 eV/atom
- Spin magnetization: 0.00 μB/f.u.
- E_tot: -3.3057 eV per atom